(1)
Here is a geometry-optimized Sr2GaGe3Au4 structure from the Alexandria database. Energies are from GGA-PBE.

Summary:
E_form: -524 meV/atom
N(E_F): 0.445 states/eV/atom

Lattice parameters (Å, degrees): 4.493 4.493 10.980 90.00 90.00 90.00
Space group P-4m2 (No. 115)
Symmetry-distinct sites (fractional):
Sr: 0.000 0.500 0.245 (multiplicity 2)
Ga: 0.000 0.000 0.500 (multiplicity 1)
Ge: 0.000 0.500 0.868 (multiplicity 2)
Ge: 0.500 0.500 0.500 (multiplicity 1)
Au: 0.000 0.000 0.000 (multiplicity 1)
Au: 0.000 0.500 0.632 (multiplicity 2)
Au: 0.500 0.500 0.000 (multiplicity 1)



(2)
Here is a geometry-optimized Sr2Ga4GeAu3 structure from the Alexandria database. Energies are from GGA-PBE.

Summary:
E_form: -548 meV/atom
N(E_F): 0.481 states/eV/atom

Lattice parameters (Å, degrees): 4.535 4.535 10.789 90.00 90.00 90.00
Space group P-4m2 (No. 115)
Symmetry-distinct sites (fractional):
Sr: 0.000 0.500 0.248 (multiplicity 2)
Ga: 0.000 0.000 0.500 (multiplicity 1)
Ga: 0.000 0.500 0.868 (multiplicity 2)
Ga: 0.500 0.500 0.500 (multiplicity 1)
Ge: 0.500 0.500 0.000 (multiplicity 1)
Au: 0.000 0.000 0.000 (multiplicity 1)
Au: 0.000 0.500 0.629 (multiplicity 2)



(3)
Here is a geometry-optimized Sr2GaGeAu6 structure from the Alexandria database. Energies are from GGA-PBE.

Summary:
E_form: -503 meV/atom
N(E_F): 0.300 states/eV/atom

Lattice parameters (Å, degrees): 5.987 8.835 8.998 90.00 90.00 90.00
Space group Pmmn (No. 59, origin choice 2)
Symmetry-distinct sites (fractional):
Sr: 0.250 0.001 0.231 (multiplicity 4)
Ga: 0.250 0.250 0.764 (multiplicity 2)
Ge: 0.250 0.750 0.774 (multiplicity 2)
Au: 0.002 0.750 0.485 (multiplicity 4)
Au: 0.003 0.250 0.997 (multiplicity 4)
Au: 0.250 0.507 0.616 (multiplicity 4)



(4)
Here is a geometry-optimized Sr2GaGe4Au3 structure from the Alexandria database. Energies are from GGA-PBE.

Summary:
E_form: -483 meV/atom
N(E_F): 0.318 states/eV/atom

Lattice parameters (Å, degrees): 4.488 4.488 11.006 90.00 90.00 90.00
Space group P-4m2 (No. 115)
Symmetry-distinct sites (fractional):
Sr: 0.000 0.500 0.249 (multiplicity 2)
Ga: 0.500 0.500 0.000 (multiplicity 1)
Ge: 0.000 0.000 0.500 (multiplicity 1)
Ge: 0.000 0.500 0.866 (multiplicity 2)
Ge: 0.500 0.500 0.500 (multiplicity 1)
Au: 0.000 0.000 0.000 (multiplicity 1)
Au: 0.000 0.500 0.634 (multiplicity 2)



Repeat the second record exactly.
Here is a geometry-optimized Sr2Ga4GeAu3 structure from the Alexandria database. Energies are from GGA-PBE.

Summary:
E_form: -548 meV/atom
N(E_F): 0.481 states/eV/atom

Lattice parameters (Å, degrees): 4.535 4.535 10.789 90.00 90.00 90.00
Space group P-4m2 (No. 115)
Symmetry-distinct sites (fractional):
Sr: 0.000 0.500 0.248 (multiplicity 2)
Ga: 0.000 0.000 0.500 (multiplicity 1)
Ga: 0.000 0.500 0.868 (multiplicity 2)
Ga: 0.500 0.500 0.500 (multiplicity 1)
Ge: 0.500 0.500 0.000 (multiplicity 1)
Au: 0.000 0.000 0.000 (multiplicity 1)
Au: 0.000 0.500 0.629 (multiplicity 2)